# 1
Below is a relaxed Th7Os3 crystal, with properties calculated at the GGA-PBEsol level.

Cell lengths 9.895, 9.895, 6.230 Å; angles 90.00, 90.00, 120.00 degrees
Fractional positions:
Th 0.079 0.540 0.000
Th 0.126 0.252 0.288
Th 0.126 0.874 0.288
Th 0.252 0.126 0.788
Th 0.333 0.667 0.507
Th 0.460 0.540 0.000
Th 0.460 0.921 0.000
Th 0.540 0.079 0.500
Th 0.540 0.460 0.500
Th 0.667 0.333 0.007
Th 0.748 0.874 0.288
Th 0.874 0.126 0.788
Th 0.874 0.748 0.788
Th 0.921 0.460 0.500
Os 0.187 0.374 0.745
Os 0.187 0.813 0.745
Os 0.374 0.187 0.245
Os 0.626 0.813 0.745
Os 0.813 0.187 0.245
Os 0.813 0.626 0.245

- ΔE_f (kJ/mol of formula units) = -284
- density of states at the Fermi level (states/eV/cell) = 19.484
- space group = P6_3mc, No. 186

---

# 2
Below is a relaxed TiTlOs2 crystal, with properties calculated at the GGA-PBEsol level.

Cell lengths 6.320, 6.320, 6.320 Å; angles 90.00, 90.00, 90.00 degrees
Fractional positions:
Ti 0.000 0.000 0.000
Ti 0.000 0.500 0.500
Ti 0.500 0.000 0.500
Ti 0.500 0.500 0.000
Tl 0.000 0.000 0.500
Tl 0.000 0.500 0.000
Tl 0.500 0.000 0.000
Tl 0.500 0.500 0.500
Os 0.250 0.250 0.250
Os 0.250 0.250 0.750
Os 0.250 0.750 0.250
Os 0.250 0.750 0.750
Os 0.750 0.250 0.250
Os 0.750 0.250 0.750
Os 0.750 0.750 0.250
Os 0.750 0.750 0.750

- ΔE_f (kJ/mol of formula units) = 111
- density of states at the Fermi level (states/eV/cell) = 14.046
- space group = Fm-3m, No. 225

---

# 3
Below is a relaxed ZrTi2Os2 crystal, with properties calculated at the GGA-PBEsol level.

Cell lengths 4.008, 4.008, 11.029 Å; angles 90.00, 90.00, 90.00 degrees
Fractional positions:
Zr 0.000 0.000 0.000
Zr 0.500 0.500 0.500
Ti 0.000 0.500 0.250
Ti 0.000 0.500 0.750
Ti 0.500 0.000 0.250
Ti 0.500 0.000 0.750
Os 0.000 0.000 0.388
Os 0.000 0.000 0.612
Os 0.500 0.500 0.112
Os 0.500 0.500 0.888

- ΔE_f (kJ/mol of formula units) = -78
- density of states at the Fermi level (states/eV/cell) = 12.818
- space group = I4/mmm, No. 139